Here is a geometry-optimized Ba2CdTc structure from the Alexandria database. Energies are from PBE.

The space group is I-4m2 (No. 119) and the conventional cell measures 4.9901, 4.9901 and 9.9948 Å, with angles of 90.00, 90.00 and 90.00 degrees. Symmetry generates all atoms from Ba at (0.0000, 0.0000, 0.0000), Ba at (0.0000, 0.5000, 0.2500), Cd at (0.0000, 0.5000, 0.7500) and Tc at (0.0000, 0.0000, 0.5000).

For the final energy, the calculation gives -24.966 eV/cell. The formation energy is 0.661 eV/atom.